Material: LiMn2OF3
Method: DFT, GGA+U
State: optimized geometry

Computed properties:
Crystal system: trigonal
SG: P-3m1 (164)
Raw total energy: -6.3143 eV per atom
Excess energy over the best structure of this formula in the dataset: 0.0107 eV/atom

Lattice parameters (Å, degrees): 6.2960 6.2960 5.2429 90.00 90.00 120.00
Positions (direct):
Li: 0.3333 0.6667 0.0236
Li: 0.6667 0.3333 0.9764
Mn: 0.0000 0.0000 0.0000
Mn: 0.0000 0.5000 0.5000
Mn: 0.5000 0.0000 0.5000
Mn: 0.5000 0.5000 0.5000
O: 0.3333 0.6667 0.6674
O: 0.6667 0.3333 0.3326
F: 0.1733 0.3465 0.2154
F: 0.1733 0.8267 0.2154
F: 0.3465 0.1733 0.7846
F: 0.6535 0.8267 0.2154
F: 0.8267 0.1733 0.7846
F: 0.8267 0.6535 0.7846